## Rb2ReSe (GGA-PBE)

Data for a geometry-optimized Rb2ReSe structure.

Values from the calculation:
Formation energy without anion corrections (eV/atom): 0.537
Crystal system: tetragonal

Cell: 9.4429 9.4429 9.4429 Å, 93.56 93.56 151.16°
With the nearest neighbours (Å) after each atom.
Fractional positions:
Rb (0.3750, 0.1868, 0.3118)  2 Se 3.38, 2 Re 3.77
Rb (0.8132, 0.1250, 0.1882)  2 Se 3.38, 2 Re 3.77
Rb (0.8750, 0.0632, 0.6882)  2 Se 3.38, 2 Re 3.77
Rb (0.9368, 0.6250, 0.8118)  2 Se 3.38, 2 Re 3.77
Re (0.2500, 0.7500, 0.5000)  2 Se 2.35
Re (0.5000, 0.5000, 0.0000)  2 Se 2.35
Se (0.0000, 0.0000, 0.0000)  2 Re 2.35
Se (0.7500, 0.2500, 0.5000)  2 Re 2.35